First-principles (PBE) data for a relaxed structure of Rb2AgO, as listed in the Alexandria database.

abc: 4.5316 15.0007 7.1140
angles: 90.00 90.00 90.00
Space group Cmcm (No. 63)
Inequivalent atoms, fractional coordinates:
Rb1 0.0000 0.1586 0.0024 (multiplicity 8)
Ag1 0.0000 0.4620 0.2500 (multiplicity 4)
O1 0.0000 0.3142 0.2500 (multiplicity 4)

Summary:
The electronic total energy comes out at -0.21523 Ry per atom. Its crystal system is orthorhombic. The calculated density comes out at 4.0 g/cm3. The size of the total moment is 0.00 μB per cell. The value obtained for the energy relative to the elements, uncorrected is -0.49 eV/atom.


First-principles (PBE) data for a relaxed structure of Rb8AgO2, as listed in the Alexandria database.

abc: 5.7244 12.3560 15.5688
angles: 90.00 90.00 90.00
Space group Immm (No. 71)
Inequivalent atoms, fractional coordinates:
Rb1 0.0000 0.0000 0.1173 (multiplicity 4)
Rb2 0.0000 0.3110 0.5000 (multiplicity 4)
Rb3 0.0000 0.3289 0.1253 (multiplicity 8)
Ag1 0.0000 0.0000 0.5000 (multiplicity 2)
O1 0.0000 0.1740 0.0000 (multiplicity 4)

Summary:
The electronic total energy comes out at -0.17392 Ry per atom. For the relative energy among the computed polymorphs, the calculation gives 0.000 kcal/mol of atoms. Its crystal system is orthorhombic. The calculated density comes out at 2.5 g/cm3. The size of the total moment is 0.00 μB per cell. The value obtained for the energy relative to the elements, uncorrected is -0.50 eV/atom.


First-principles (PBE) data for a relaxed structure of Rb4AgO2, as listed in the Alexandria database.

abc: 5.4849 5.4849 24.0885
angles: 90.00 90.00 120.00
Space group R-3m (No. 166, hexagonal axes)
Inequivalent atoms, fractional coordinates:
Rb1 0.0000 0.0000 0.1053 (multiplicity 6)
Rb2 0.0000 0.0000 0.2979 (multiplicity 6)
Ag1 0.0000 0.0000 0.5000 (multiplicity 3)
O1 0.0000 0.0000 0.4129 (multiplicity 6)

Summary:
The electronic total energy comes out at -0.21985 Ry per atom. Its crystal system is trigonal. The calculated density comes out at 3.8 g/cm3. The size of the total moment is 1.03 μB per cell. The value obtained for the energy relative to the elements, uncorrected is -0.61 eV/atom.


First-principles (PBE) data for a relaxed structure of Rb8AgO2, as listed in the Alexandria database.

abc: 14.9891 12.1145 8.0458
angles: 90.00 96.59 90.00
Space group C2/m (No. 12)
Inequivalent atoms, fractional coordinates:
Rb1 0.1212 0.0000 0.2526 (multiplicity 4)
Rb2 0.1305 0.3335 0.7405 (multiplicity 8)
Rb3 0.2006 0.5000 0.3106 (multiplicity 4)
Ag1 0.0000 0.5000 0.0000 (multiplicity 2)
O1 0.2126 0.5000 0.6305 (multiplicity 4)

Summary:
The electronic total energy comes out at -0.17094 Ry per atom. For the relative energy among the computed polymorphs, the calculation gives 0.936 kcal/mol of atoms. Its crystal system is monoclinic. The calculated density comes out at 1.9 g/cm3. The size of the total moment is 0.00 μB per cell. The value obtained for the energy relative to the elements, uncorrected is -0.46 eV/atom.


First-principles (PBE) data for a relaxed structure of RbAgO, as listed in the Alexandria database.

abc: 9.7744 5.6255 6.0122
angles: 90.00 90.00 90.00
Space group Pnma (No. 62)
Inequivalent atoms, fractional coordinates:
Rb1 0.1537 0.2500 0.0064 (multiplicity 4)
Ag1 0.0000 0.0000 0.5000 (multiplicity 4)
O1 0.0808 0.7500 0.2808 (multiplicity 4)

Summary:
The electronic total energy comes out at -0.26840 Ry per atom. Its crystal system is orthorhombic. The calculated density comes out at 4.2 g/cm3. The size of the total moment is 0.00 μB per cell. The value obtained for the energy relative to the elements, uncorrected is -0.73 eV/atom.


First-principles (PBE) data for a relaxed structure of Rb2Ag2O, as listed in the Alexandria database.

abc: 7.0506 7.0506 6.6062
angles: 90.00 90.00 90.00
Space group P4/mbm (No. 127)
Inequivalent atoms, fractional coordinates:
Rb1 0.1732 0.3268 0.0000 (multiplicity 4)
Ag1 0.1361 0.6361 0.5000 (multiplicity 4)
O1 0.0000 0.0000 0.0000 (multiplicity 2)

Summary:
The electronic total energy comes out at -0.18113 Ry per atom. For the relative energy among the computed polymorphs, the calculation gives 7.989 kcal/mol of atoms. Its crystal system is tetragonal. The calculated density comes out at 4.1 g/cm3. The size of the total moment is 0.44 μB per cell. The value obtained for the energy relative to the elements, uncorrected is 0.05 eV/atom.


First-principles (PBE) data for a relaxed structure of Rb5AgO3, as listed in the Alexandria database.

abc: 11.3574 9.0531 10.4069
angles: 90.00 100.92 90.00
Space group C2/m (No. 12)
Inequivalent atoms, fractional coordinates:
Rb1 0.0000 0.1940 0.0000 (multiplicity 4)
Rb2 0.0697 0.0000 0.3689 (multiplicity 4)
Rb3 0.1513 0.3114 0.7029 (multiplicity 8)
Rb4 0.2235 0.5000 0.0748 (multiplicity 4)
Ag1 0.1538 0.5000 0.4132 (multiplicity 4)
O1 0.0000 0.5000 0.0000 (multiplicity 2)
O2 0.0000 0.5000 0.5000 (multiplicity 2)
O3 0.1720 0.0000 0.1562 (multiplicity 4)
O4 0.1831 0.0000 0.6442 (multiplicity 4)

Summary:
The electronic total energy comes out at -0.24323 Ry per atom. Its crystal system is monoclinic. The calculated density comes out at 3.7 g/cm3. The size of the total moment is 0.19 μB per cell. The value obtained for the energy relative to the elements, uncorrected is -0.80 eV/atom.


First-principles (PBE) data for a relaxed structure of Rb3Ag2O4, as listed in the Alexandria database.

abc: 9.8941 11.3348 7.1110
angles: 90.00 104.54 90.00
Space group C2/c (No. 15)
Inequivalent atoms, fractional coordinates:
Rb1 0.0000 0.1262 0.2500 (multiplicity 4)
Rb2 0.1526 0.4246 0.5712 (multiplicity 8)
Ag1 0.1418 0.1840 0.8388 (multiplicity 8)
O1 0.1330 0.3185 0.0317 (multiplicity 8)
O2 0.1548 0.0643 0.6421 (multiplicity 8)

Summary:
The electronic total energy comes out at -0.27510 Ry per atom. Its crystal system is monoclinic. The calculated density comes out at 4.6 g/cm3. The size of the total moment is 4.27 μB per cell. The value obtained for the energy relative to the elements, uncorrected is -0.58 eV/atom.


First-principles (PBE) data for a relaxed structure of Rb7Ag3O2, as listed in the Alexandria database.

abc: 5.6054 27.7494 5.6904
angles: 90.00 90.00 90.00
Space group Cmmm (No. 65)
Inequivalent atoms, fractional coordinates:
Rb1 0.0000 0.0000 0.0000 (multiplicity 2)
Rb2 0.0000 0.1067 0.5000 (multiplicity 4)
Rb3 0.0000 0.1974 0.0000 (multiplicity 4)
Rb4 0.0000 0.4002 0.0000 (multiplicity 4)
Ag1 0.0000 0.2765 0.5000 (multiplicity 4)
Ag2 0.0000 0.5000 0.5000 (multiplicity 2)
O1 0.0000 0.1023 0.0000 (multiplicity 4)

Summary:
The electronic total energy comes out at -0.18657 Ry per atom. Its crystal system is orthorhombic. The calculated density comes out at 3.6 g/cm3. The size of the total moment is 0.00 μB per cell. The value obtained for the energy relative to the elements, uncorrected is -0.43 eV/atom.


First-principles (PBE) data for a relaxed structure of RbAgO, as listed in the Alexandria database.

abc: 5.7767 7.7593 11.3058
angles: 90.00 90.00 90.00
Space group I2_12_12_1 (No. 24)
Inequivalent atoms, fractional coordinates:
Rb1 0.2195 0.0000 0.2500 (multiplicity 4)
Ag1 0.2500 0.2652 0.0000 (multiplicity 4)
O1 0.0000 0.2500 0.1311 (multiplicity 4)

Summary:
The electronic total energy comes out at -0.26184 Ry per atom. Its crystal system is orthorhombic. The calculated density comes out at 2.7 g/cm3. The size of the total moment is 0.00 μB per cell. The value obtained for the energy relative to the elements, uncorrected is -0.64 eV/atom.


First-principles (PBE) data for a relaxed structure of RbRe2AgO8, as listed in the Alexandria database.

abc: 11.8197 6.0248 7.3555
angles: 90.00 115.23 90.00
Space group C2/m (No. 12)
Inequivalent atoms, fractional coordinates:
Rb1 0.0000 0.0000 0.0000 (multiplicity 2)
Re1 0.2032 0.0000 0.6736 (multiplicity 4)
Ag1 0.0000 0.5000 0.5000 (multiplicity 2)
O1 0.1337 0.2360 0.7264 (multiplicity 8)
O2 0.1353 0.5000 0.1786 (multiplicity 4)
O3 0.1737 0.0000 0.4190 (multiplicity 4)

Summary:
The electronic total energy comes out at -0.53251 Ry per atom. Its crystal system is monoclinic. The calculated density comes out at 4.9 g/cm3. The size of the total moment is 0.00 μB per cell. The value obtained for the energy relative to the elements, uncorrected is -1.55 eV/atom.


First-principles (PBE) data for a relaxed structure of Rb3Re2AgO8, as listed in the Alexandria database.

abc: 6.2431 6.2431 8.2181
angles: 90.00 90.00 120.00
Space group P-3m1 (No. 164)
Inequivalent atoms, fractional coordinates:
Rb1 0.0000 0.0000 0.0000 (multiplicity 1)
Rb2 0.3333 0.6667 0.6554 (multiplicity 2)
Re1 0.3333 0.6667 0.2092 (multiplicity 2)
Ag1 0.0000 0.0000 0.5000 (multiplicity 1)
O1 0.1778 0.3556 0.2917 (multiplicity 6)
O2 0.3333 0.6667 0.9925 (multiplicity 2)

Summary:
The electronic total energy comes out at -0.47840 Ry per atom. Its crystal system is trigonal. The calculated density comes out at 5.2 g/cm3. The size of the total moment is 2.06 μB per cell. The value obtained for the energy relative to the elements, uncorrected is -1.49 eV/atom.


Among the records above, which one has the lowest electronic total energy? RbRe2AgO8